(1)
A relaxed Pr4HgTe2S crystal. Source: Alexandria via LeMat-Bulk, functional PBE.

Properties
**Magnetization**: 0.000 μB per formula unit
**Raw formation energy**: -1.321 eV/atom

```
data_Pr4HgTe2S
_space_group_name_H-M_alt 'P 1 2/m 1'
_space_group_IT_number 10
_cell_length_a 7.687
_cell_length_b 4.316
_cell_length_c 7.768
_cell_angle_alpha 90.00
_cell_angle_beta 108.38
_cell_angle_gamma 90.00
loop_
_space_group_symop_operation_xyz
'x,y,z'
'-x,-y,-z'
'-x,y,-z'
'x,-y,z'
loop_
_atom_site_label
_atom_site_fract_x
_atom_site_fract_y
_atom_site_fract_z
Pr1 0.229 0.000 0.223
Pr2 0.247 0.500 0.762
Hg1 0.500 0.000 0.000
Te1 0.000 0.000 0.500
Te2 0.500 0.500 0.500
S1 0.000 0.500 0.000
```

=====

(2)
A relaxed La6P2IrCl3 crystal. Source: Alexandria via LeMat-Bulk, functional PBE.

Properties
**Magnetization**: 0.000 μB per formula unit
**Raw formation energy**: -1.552 eV/atom

```
data_La6P2IrCl3
_space_group_name_H-M_alt 'C 1 2/m 1'
_space_group_IT_number 12
_cell_length_a 18.722
_cell_length_b 4.153
_cell_length_c 8.715
_cell_angle_alpha 90.00
_cell_angle_beta 103.33
_cell_angle_gamma 90.00
loop_
_space_group_symop_operation_xyz
'x,y,z'
'-x,-y,-z'
'-x,y,-z'
'x,-y,z'
'x+1/2,y+1/2,z'
'-x+1/2,-y+1/2,-z'
'-x+1/2,y+1/2,-z'
'x+1/2,-y+1/2,z'
loop_
_atom_site_label
_atom_site_fract_x
_atom_site_fract_y
_atom_site_fract_z
La1 0.005 0.000 0.225
La2 0.163 0.500 0.099
La3 0.173 0.500 0.568
P1 0.167 0.000 0.335
Ir1 0.000 0.500 0.000
Cl1 0.000 0.500 0.500
Cl2 0.167 0.000 0.830
```

=====

(3)
A relaxed Li3POs crystal. Source: Alexandria via LeMat-Bulk, functional PBE.

Properties
**Magnetization**: 3.531 μB per formula unit
**E above lowest polymorph**: 0 meV/atom
**DFT formation energy**: 80 kJ per mole of atoms

```
data_Li3POs
_space_group_name_H-M_alt 'P m -3 m'
_space_group_IT_number 221
_space_group_name_Hall '-P 4 2 3'
_cell_length_a 4.463
_cell_length_b 4.463
_cell_length_c 4.463
_cell_angle_alpha 90.00
_cell_angle_beta 90.00
_cell_angle_gamma 90.00
loop_
_atom_site_label
_atom_site_fract_x
_atom_site_fract_y
_atom_site_fract_z
Li1 0.000 0.000 0.500
P1 0.000 0.000 0.000
Os1 0.500 0.500 0.500
```

=====

(4)
A relaxed HPbClO crystal. Source: Alexandria via LeMat-Bulk, functional PBE.

Properties
**Magnetization**: 0.000 μB per formula unit
**E above lowest polymorph**: 23 meV/atom

```
data_HPbClO
_space_group_name_H-M_alt 'R -3 m'
_space_group_IT_number 166
_space_group_name_Hall '-R 3 2"'
_cell_length_a 4.2451
_cell_length_b 4.2451
_cell_length_c 29.9699
_cell_angle_alpha 90.00
_cell_angle_beta 90.00
_cell_angle_gamma 120.00
loop_
_atom_site_label
_atom_site_fract_x
_atom_site_fract_y
_atom_site_fract_z
H1 0.0000 0.0000 0.2104
Pb1 0.0000 0.0000 0.4044
Cl1 0.0000 0.0000 0.0000
Cl2 0.0000 0.0000 0.5000
O1 0.0000 0.0000 0.2431
```

=====

(5)
A relaxed ScNb2SeO crystal. Source: Alexandria via LeMat-Bulk, functional PBE.

Properties
**Magnetization**: 1.497 μB per formula unit
**Raw formation energy**: 1.546 eV/atom

```
data_ScNb2SeO
_space_group_name_H-M_alt 'P 4/m m m'
_space_group_IT_number 123
_space_group_name_Hall '-P 4 2'
_cell_length_a 4.922
_cell_length_b 4.922
_cell_length_c 4.717
_cell_angle_alpha 90.00
_cell_angle_beta 90.00
_cell_angle_gamma 90.00
loop_
_atom_site_label
_atom_site_fract_x
_atom_site_fract_y
_atom_site_fract_z
Sc1 0.000 0.000 0.000
Nb1 0.000 0.500 0.000
Se1 0.000 0.000 0.500
O1 0.500 0.500 0.500
```

=====

(6)
A relaxed AcCO crystal. Source: Alexandria via LeMat-Bulk, functional PBE.

Properties
**Magnetization**: 0.000 μB per formula unit
**Raw formation energy**: -1.797 eV/atom

```
data_AcCO
_space_group_name_H-M_alt 'C 1 2/m 1'
_space_group_IT_number 12
_cell_length_a 7.006
_cell_length_b 4.521
_cell_length_c 7.124
_cell_angle_alpha 90.00
_cell_angle_beta 90.12
_cell_angle_gamma 90.00
loop_
_space_group_symop_operation_xyz
'x,y,z'
'-x,-y,-z'
'-x,y,-z'
'x,-y,z'
'x+1/2,y+1/2,z'
'-x+1/2,-y+1/2,-z'
'-x+1/2,y+1/2,-z'
'x+1/2,-y+1/2,z'
loop_
_atom_site_label
_atom_site_fract_x
_atom_site_fract_y
_atom_site_fract_z
Ac1 0.171 0.000 0.278
C1 0.000 0.361 0.000
O1 0.175 0.000 0.631
```

=====

(7)
A relaxed SrBSe3 crystal. Source: Alexandria via LeMat-Bulk, functional PBE.

Properties
**Magnetization**: 0.000 μB per formula unit
**Raw formation energy**: -0.828 eV/atom
**E above lowest polymorph**: 0 meV/atom

```
data_SrBSe3
_space_group_name_H-M_alt 'P 1 21/c 1'
_space_group_IT_number 14
_cell_length_a 7.963
_cell_length_b 7.274
_cell_length_c 11.969
_cell_angle_alpha 90.00
_cell_angle_beta 129.38
_cell_angle_gamma 90.00
loop_
_space_group_symop_operation_xyz
'x,y,z'
'-x,-y,-z'
'-x,y+1/2,-z+1/2'
'x,-y+1/2,z+1/2'
loop_
_atom_site_label
_atom_site_fract_x
_atom_site_fract_y
_atom_site_fract_z
Sr1 0.226 0.214 0.137
B1 0.315 0.733 0.507
Se1 0.154 0.522 0.385
Se2 0.256 0.659 0.129
Se3 0.434 0.161 0.477
```

=====

(8)
A relaxed AgHAu crystal. Source: Alexandria via LeMat-Bulk, functional PBE.

Properties
**Magnetization**: 0.000 μB per formula unit
**E above lowest polymorph**: 0 meV/atom

```
data_AgHAu
_space_group_name_H-M_alt 'C 1 2/m 1'
_space_group_IT_number 12
_cell_length_a 19.335
_cell_length_b 2.881
_cell_length_c 4.825
_cell_angle_alpha 90.00
_cell_angle_beta 95.86
_cell_angle_gamma 90.00
loop_
_space_group_symop_operation_xyz
'x,y,z'
'-x,-y,-z'
'-x,y,-z'
'x,-y,z'
'x+1/2,y+1/2,z'
'-x+1/2,-y+1/2,-z'
'-x+1/2,y+1/2,-z'
'x+1/2,-y+1/2,z'
loop_
_atom_site_label
_atom_site_fract_x
_atom_site_fract_y
_atom_site_fract_z
Ag1 0.182 0.000 0.062
H1 0.020 0.500 0.508
Au1 0.183 0.500 0.563
```